Entry a
# LiYMg2 (GGA-PBEsol, optimized geometry)
data_LiYMg2
_cell_length_a 7.224
_cell_length_b 7.224
_cell_length_c 7.224
_cell_angle_alpha 90.00
_cell_angle_beta 90.00
_cell_angle_gamma 90.00
_space_group_name_H-M_alt 'F m -3 m'
_space_group_IT_number 225
_space_group_name_Hall '-F 4 2 3'
loop_
_atom_site_label
_atom_site_type_symbol
_atom_site_fract_x
_atom_site_fract_y
_atom_site_fract_z
Li1 Li 0.000 0.000 0.000
Y1 Y 0.000 0.000 0.500
Mg1 Mg 0.250 0.250 0.250
# - total magnetization (Bohr magnetons per cell) = 0.0

Entry b
# LiYMg2 (GGA-PBEsol, optimized geometry)
data_LiYMg2
_cell_length_a 7.154
_cell_length_b 7.154
_cell_length_c 7.154
_cell_angle_alpha 90.00
_cell_angle_beta 90.00
_cell_angle_gamma 90.00
_space_group_name_H-M_alt 'F -4 3 m'
_space_group_IT_number 216
_space_group_name_Hall 'F -4 2 3'
loop_
_atom_site_label
_atom_site_type_symbol
_atom_site_fract_x
_atom_site_fract_y
_atom_site_fract_z
Li1 Li 0.000 0.000 0.000
Y1 Y 0.250 0.250 0.750
Mg1 Mg 0.000 0.000 0.500
Mg2 Mg 0.250 0.250 0.250
# - total magnetization (Bohr magnetons per cell) = 0.0

Entry c
# LiYMg2 (GGA-PBEsol, optimized geometry)
data_LiYMg2
_cell_length_a 4.310
_cell_length_b 4.310
_cell_length_c 21.629
_cell_angle_alpha 90.00
_cell_angle_beta 90.00
_cell_angle_gamma 90.00
_space_group_name_H-M_alt 'I -4 2 d'
_space_group_IT_number 122
_space_group_name_Hall 'I -4 2bw'
loop_
_atom_site_label
_atom_site_type_symbol
_atom_site_fract_x
_atom_site_fract_y
_atom_site_fract_z
Li1 Li 0.000 0.000 0.000
Y1 Y 0.000 0.000 0.500
Mg1 Mg 0.224 0.250 0.125
# - total magnetization (Bohr magnetons per cell) = 0.0

The winner here is entry b, beating the second structure by 4.2 kJ/mol of atoms.

Entry a
# LiMnMo (GGA-PBEsol, optimized geometry)
data_LiMnMo
_cell_length_a 2.902
_cell_length_b 4.233
_cell_length_c 13.430
_cell_angle_alpha 90.00
_cell_angle_beta 90.00
_cell_angle_gamma 90.00
_space_group_name_H-M_alt 'F m m 2'
_space_group_IT_number 42
_space_group_name_Hall 'F 2 -2'
loop_
_atom_site_label
_atom_site_type_symbol
_atom_site_fract_x
_atom_site_fract_y
_atom_site_fract_z
Li1 Li 0.000 0.000 0.000
Mn1 Mn 0.000 0.000 0.335
Mo1 Mo 0.000 0.000 0.684
# - total magnetization (Bohr magnetons per cell) = 5.6

Entry b
# LiMnMo (GGA-PBEsol, optimized geometry)
data_LiMnMo
_cell_length_a 5.620
_cell_length_b 5.620
_cell_length_c 5.620
_cell_angle_alpha 90.00
_cell_angle_beta 90.00
_cell_angle_gamma 90.00
_space_group_name_H-M_alt 'F -4 3 m'
_space_group_IT_number 216
_space_group_name_Hall 'F -4 2 3'
loop_
_atom_site_label
_atom_site_type_symbol
_atom_site_fract_x
_atom_site_fract_y
_atom_site_fract_z
Li1 Li 0.000 0.000 0.000
Mn1 Mn 0.000 0.000 0.500
Mo1 Mo 0.250 0.250 0.250
# - total magnetization (Bohr magnetons per cell) = 1.7

The winner here is entry a, beating the second structure by 74.5 kJ/mol of atoms.

Entry a
# Li2MnNi (GGA-PBEsol, optimized geometry)
data_Li2MnNi
_cell_length_a 5.822
_cell_length_b 5.822
_cell_length_c 5.822
_cell_angle_alpha 90.00
_cell_angle_beta 90.00
_cell_angle_gamma 90.00
_space_group_name_H-M_alt 'F -4 3 m'
_space_group_IT_number 216
_space_group_name_Hall 'F -4 2 3'
loop_
_atom_site_label
_atom_site_type_symbol
_atom_site_fract_x
_atom_site_fract_y
_atom_site_fract_z
Li1 Li 0.000 0.000 0.000
Li2 Li 0.250 0.250 0.250
Mn1 Mn 0.000 0.000 0.500
Ni1 Ni 0.250 0.250 0.750
# - total magnetization (Bohr magnetons per cell) = 16.1

Entry b
# Li2MnNi (GGA-PBEsol, optimized geometry)
data_Li2MnNi
_cell_length_a 2.469
_cell_length_b 2.469
_cell_length_c 8.058
_cell_angle_alpha 90.00
_cell_angle_beta 90.00
_cell_angle_gamma 90.00
_space_group_name_H-M_alt 'P 4 m m'
_space_group_IT_number 99
loop_
_space_group_symop_operation_xyz
'x,y,z'
'-y,x,z'
'-x,-y,z'
'y,-x,z'
'-x,y,z'
'y,x,z'
'x,-y,z'
'-y,-x,z'
loop_
_atom_site_label
_atom_site_type_symbol
_atom_site_fract_x
_atom_site_fract_y
_atom_site_fract_z
Li1 Li 0.000 0.000 0.000
Li2 Li 0.500 0.500 0.317
Mn1 Mn 0.000 0.000 0.571
Ni1 Ni 0.500 0.500 0.769
# - total magnetization (Bohr magnetons per cell) = 0.1

The winner here is entry b, beating the second structure by 2.5 kJ/mol of atoms.